# La2ScAl12Fe3 (PBE-GGA, optimized geometry)
# total DFT energy (no corrections) = -4.66 eV/atom
# density of states at the Fermi level = 12.03 states/eV/cell
# E_form = 0.15 eV/atom
data_La2ScAl12Fe3
_chemical_formula_sum 'La2 Sc1 Al12 Fe3'
_cell_length_a 7.979
_cell_length_b 7.979
_cell_length_c 7.979
_cell_angle_alpha 64.60
_cell_angle_beta 64.60
_cell_angle_gamma 64.60
_symmetry_space_group_name_H-M 'P 1'
_symmetry_Int_Tables_number 1
_symmetry_space_group_name_Hall 'P 1'
loop_
_atom_site_label
_atom_site_type_symbol
_atom_site_fract_x
_atom_site_fract_y
_atom_site_fract_z
La1 La 0.081 0.081 0.081
La2 La 0.919 0.919 0.919
Sc1 Sc 0.500 0.500 0.500
Al1 Al 0.037 0.658 0.658
Al2 Al 0.232 0.232 0.578
Al3 Al 0.232 0.578 0.232
Al4 Al 0.342 0.342 0.963
Al5 Al 0.342 0.963 0.342
Al6 Al 0.422 0.768 0.768
Al7 Al 0.578 0.232 0.232
Al8 Al 0.658 0.037 0.658
Al9 Al 0.658 0.658 0.037
Al10 Al 0.768 0.422 0.768
Al11 Al 0.768 0.768 0.422
Al12 Al 0.963 0.342 0.342
Fe1 Fe 0.000 0.500 0.500
Fe2 Fe 0.500 0.000 0.500
Fe3 Fe 0.500 0.500 0.000